Entry 1:
This record from Alexandria via LeMat-Bulk describes a relaxed Cs2KBaBr5 crystal. The functional is PBE.

## Properties
* space-group type: Cmc2_1 (36)
* raw formation energy: -1889 meV/atom
* crystal system: orthorhombic
* mass density: 3.3 Mg/m³

a = 4.9943 Å, b = 10.6816 Å, c = 16.3371 Å
α = 90.00°, β = 90.00°, γ = 103.52°
Each line ends with the local moment (μB).
Fractional coordinates of all 18 atoms:
Br 0.2614 0.5229 0.6578  0.00
Br 0.2985 0.5970 0.4010  0.00
Cs 0.8667 0.7335 0.7943  0.00
Br 0.3805 0.7609 0.9924  0.01
Br 0.9234 0.8469 0.5662  0.01
Cs 0.9162 0.8324 0.1623  0.00
Cs 0.1333 0.2665 0.2943  0.00
Cs 0.0838 0.1676 0.6623  0.00
Br 0.0766 0.1531 0.0662  0.01
K 0.5404 0.0808 0.9538  0.00
K 0.4596 0.9192 0.4538  0.00
Br 0.4940 0.9880 0.7704  0.09
Br 0.7386 0.4771 0.1578  0.00
Br 0.5060 0.0120 0.2704  0.09
Ba 0.2277 0.4554 0.0257  0.00
Br 0.6195 0.2391 0.4924  0.01
Ba 0.7723 0.5446 0.5257  0.00
Br 0.7015 0.4030 0.9010  0.00

=====

Entry 2:
This record from Alexandria via LeMat-Bulk describes a relaxed CsK2BaBr crystal. The functional is PBE.

## Properties
* space-group type: P4/mmm (123)
* raw formation energy: -529 meV/atom
* crystal system: tetragonal
* mass density: 2.1 Mg/m³

a = 7.2551 Å, b = 6.4824 Å, c = 7.2551 Å
α = 90.00°, β = 90.00°, γ = 90.00°
Fractional coordinates of all 5 atoms:
Cs 0.5000 0.5000 0.5000
Br 0.0000 0.0000 0.0000
K 0.0000 0.0000 0.5000
K 0.5000 0.0000 0.0000
Ba 0.0000 0.5000 0.0000

=====

Number 1: spin magnetization 0.17 μB per formula unit. Number 2: spin magnetization 0.00 μB per formula unit.